[1]
{"formula": "GdPuCuIr", "functional": "PBE-GGA", "state": "relaxed", "formation_energy_ev_per_atom": -0.35, "n_ef_per_ev_cell": 11.16, "cell": [[4.901, 0.000, 0.000], [2.450, 4.244, 0.000], [2.450, 1.415, 4.002]], "species": ["Ir", "Cu", "Pu", "Gd"], "fractional_positions": [[0.750, 0.750, 0.750], [0.250, 0.250, 0.250], [0.000, 0.000, 0.000], [0.500, 0.500, 0.500]]}


[2]
{"formula": "GdScCuIr", "functional": "PBE-GGA", "state": "relaxed", "formation_energy_ev_per_atom": -0.56, "n_ef_per_ev_cell": 3.15, "cell": [[-0.090, 3.815, -2.856], [0.233, -0.556, -4.728], [-3.834, 0.871, -2.694]], "species": ["Sc", "Ir", "Gd", "Cu"], "fractional_positions": [[0.000, 0.000, 0.000], [0.750, 0.750, 0.750], [0.500, 0.500, 0.500], [0.250, 0.250, 0.250]]}


[3]
{"formula": "SmGdCuIr", "functional": "PBE-GGA", "state": "relaxed", "formation_energy_ev_per_atom": -0.50, "n_ef_per_ev_cell": 3.00, "cell": [[4.950, 0.000, 0.000], [2.475, 4.287, 0.000], [2.475, 1.429, 4.042]], "species": ["Gd", "Sm", "Ir", "Cu"], "fractional_positions": [[0.500, 0.500, 0.500], [0.000, 0.000, 0.000], [0.250, 0.250, 0.250], [0.750, 0.750, 0.750]]}